# 1
Sr2LiSb3Au4: optimized geometry, PBE-GGA.

abc: 4.660 4.660 11.584
angles: 90.00 90.00 90.00
Atoms (fractional coordinates):
Sr (0.000, 0.500, 0.237)
Sr (0.500, 0.000, 0.763)
Li (0.000, 0.000, 0.500)
Sb (0.000, 0.500, 0.861)
Sb (0.500, 0.000, 0.139)
Sb (0.500, 0.500, 0.500)
Au (0.000, 0.000, 0.000)
Au (0.000, 0.500, 0.628)
Au (0.500, 0.000, 0.372)
Au (0.500, 0.500, 0.000)

Results
energy relative to the elements, uncorrected: -0.614 eV per atom


# 2
SrLi2Sb2Au2: optimized geometry, PBE-GGA.

abc: 8.960 8.960 8.960
angles: 30.19 30.19 30.19
Atoms (fractional coordinates):
Sr (0.000, 0.000, 0.000)
Li (0.140, 0.140, 0.140)
Li (0.860, 0.860, 0.860)
Sb (0.251, 0.251, 0.251)
Sb (0.749, 0.749, 0.749)
Au (0.437, 0.437, 0.437)
Au (0.563, 0.563, 0.563)

Results
energy relative to the elements, uncorrected: -0.689 eV per atom


# 3
LiSb2TeAu: optimized geometry, PBE-GGA.

abc: 5.404 5.404 5.704
angles: 90.00 90.00 90.00
Atoms (fractional coordinates):
Li (0.000, 0.000, 0.000)
Sb (0.000, 0.500, 0.500)
Sb (0.500, 0.000, 0.500)
Te (0.500, 0.500, 0.000)
Au (0.500, 0.500, 0.500)

Results
energy relative to the elements, uncorrected: 0.330 eV per atom
energy above the most stable polymorph in this dataset: 0.000 eV per atom


# 4
LiThSbAu: optimized geometry, PBE-GGA.

abc: 5.154 5.154 5.154
angles: 60.00 60.00 60.00
Atoms (fractional coordinates):
Li (0.000, 0.000, 0.000)
Th (0.500, 0.500, 0.500)
Sb (0.250, 0.250, 0.250)
Au (0.750, 0.750, 0.750)

Results
energy relative to the elements, uncorrected: -0.607 eV per atom


# 5
LiTiSbAu: optimized geometry, PBE-GGA.

abc: 4.695 4.695 4.695
angles: 60.00 60.00 60.00
Atoms (fractional coordinates):
Li (0.000, 0.000, 0.000)
Ti (0.500, 0.500, 0.500)
Sb (0.750, 0.750, 0.750)
Au (0.250, 0.250, 0.250)

Results
energy relative to the elements, uncorrected: -0.381 eV per atom


# 6
LiTl2Sb4Au3: optimized geometry, PBE-GGA.

abc: 4.632 4.632 12.100
angles: 90.00 90.00 90.00
Atoms (fractional coordinates):
Li (0.000, 0.000, 0.000)
Tl (0.000, 0.500, 0.762)
Tl (0.500, 0.000, 0.238)
Sb (0.000, 0.000, 0.500)
Sb (0.000, 0.500, 0.134)
Sb (0.500, 0.000, 0.866)
Sb (0.500, 0.500, 0.500)
Au (0.000, 0.500, 0.358)
Au (0.500, 0.000, 0.642)
Au (0.500, 0.500, 0.000)

Results
energy relative to the elements, uncorrected: -0.120 eV per atom


# 7
LiTl2Sb2Au7: optimized geometry, PBE-GGA.

abc: 4.312 4.312 15.259
angles: 94.69 94.69 89.25
Atoms (fractional coordinates):
Li (0.000, 0.000, 0.000)
Tl (0.083, 0.083, 0.390)
Tl (0.917, 0.917, 0.610)
Sb (0.435, 0.435, 0.762)
Sb (0.565, 0.565, 0.238)
Au (0.034, 0.535, 0.124)
Au (0.419, 0.419, 0.579)
Au (0.465, 0.966, 0.876)
Au (0.500, 0.500, 0.000)
Au (0.535, 0.034, 0.124)
Au (0.581, 0.581, 0.421)
Au (0.966, 0.465, 0.876)

Results
energy relative to the elements, uncorrected: -0.111 eV per atom


# 8
LiTlSbAu: optimized geometry, PBE-GGA.

abc: 5.036 5.036 5.036
angles: 60.00 60.00 60.00
Atoms (fractional coordinates):
Li (0.000, 0.000, 0.000)
Tl (0.750, 0.750, 0.750)
Sb (0.250, 0.250, 0.250)
Au (0.500, 0.500, 0.500)

Results
energy relative to the elements, uncorrected: -0.158 eV per atom


# 9
LiUSbAu: optimized geometry, PBE-GGA.

abc: 5.038 5.038 5.038
angles: 60.00 60.00 60.00
Atoms (fractional coordinates):
Li (0.000, 0.000, 0.000)
U (0.500, 0.500, 0.500)
Sb (0.250, 0.250, 0.250)
Au (0.750, 0.750, 0.750)

Results
energy relative to the elements, uncorrected: -0.301 eV per atom


# 10
LiVSbAu: optimized geometry, PBE-GGA.

abc: 4.639 4.639 4.639
angles: 60.00 60.00 60.00
Atoms (fractional coordinates):
Li (0.000, 0.000, 0.000)
V (0.500, 0.500, 0.500)
Sb (0.250, 0.250, 0.250)
Au (0.750, 0.750, 0.750)

Results
energy relative to the elements, uncorrected: -0.199 eV per atom


# 11
LiZn2SbAu4: optimized geometry, PBE-GGA.

abc: 8.779 8.779 8.779
angles: 29.44 29.44 29.44
Atoms (fractional coordinates):
Li (0.000, 0.000, 0.000)
Zn (0.265, 0.265, 0.265)
Zn (0.735, 0.735, 0.735)
Sb (0.500, 0.500, 0.500)
Au (0.108, 0.108, 0.108)
Au (0.372, 0.372, 0.372)
Au (0.628, 0.628, 0.628)
Au (0.892, 0.892, 0.892)

Results
energy relative to the elements, uncorrected: -0.229 eV per atom


# 12
LiZrSbAu: optimized geometry, PBE-GGA.

abc: 4.852 4.852 4.852
angles: 60.00 60.00 60.00
Atoms (fractional coordinates):
Li (0.000, 0.000, 0.000)
Zr (0.500, 0.500, 0.500)
Sb (0.750, 0.750, 0.750)
Au (0.250, 0.250, 0.250)

Results
energy relative to the elements, uncorrected: -0.450 eV per atom


# 13
LiSc2Au: optimized geometry, PBE-GGA.

abc: 9.508 9.508 9.508
angles: 20.44 20.44 20.44
Atoms (fractional coordinates):
Li (0.000, 0.000, 0.000)
Sc (0.241, 0.241, 0.241)
Sc (0.759, 0.759, 0.759)
Au (0.500, 0.500, 0.500)

Results
energy above the most stable polymorph in this dataset: 0.300 eV per atom
formation enthalpy at 0 K: -0.128 eV/atom


# 14
LiSc2Au: optimized geometry, PBE-GGA.

abc: 5.458 5.458 4.807
angles: 108.63 108.63 36.22
Atoms (fractional coordinates):
Li (0.000, 0.000, 0.000)
Sc (0.548, 0.548, 0.552)
Sc (0.773, 0.773, 0.229)
Au (0.285, 0.285, 0.744)

Results
energy above the most stable polymorph in this dataset: 0.113 eV per atom
formation enthalpy at 0 K: -0.315 eV/atom


# 15
LiSc2Au: optimized geometry, PBE-GGA.

abc: 3.331 4.567 5.539
angles: 90.00 107.32 90.00
Atoms (fractional coordinates):
Li (0.000, 0.000, 0.000)
Sc (0.279, 0.000, 0.550)
Sc (0.580, 0.500, 0.157)
Au (0.861, 0.500, 0.714)

Results
energy above the most stable polymorph in this dataset: 0.102 eV per atom
formation enthalpy at 0 K: -0.326 eV/atom


# 16
LiSc3Au: optimized geometry, PBE-GGA.

abc: 4.822 4.822 4.822
angles: 90.00 90.00 90.00
Atoms (fractional coordinates):
Li (0.000, 0.000, 0.000)
Sc (0.000, 0.000, 0.500)
Sc (0.000, 0.500, 0.000)
Sc (0.500, 0.000, 0.000)
Au (0.500, 0.500, 0.500)

Results
formation enthalpy at 0 K: 0.447 eV/atom


# 17
LiSc2Au2: optimized geometry, PBE-GGA.

abc: 6.461 6.461 6.461
angles: 138.23 138.23 60.56
Atoms (fractional coordinates):
Li (0.000, 0.000, 0.000)
Sc (0.250, 0.750, 0.500)
Sc (0.750, 0.250, 0.500)
Au (0.382, 0.382, 0.000)
Au (0.618, 0.618, 0.000)

Results
energy above the most stable polymorph in this dataset: 0.231 eV per atom
formation enthalpy at 0 K: -0.401 eV/atom


# 18
Li5ScAu6: optimized geometry, PBE-GGA.

abc: 7.748 7.748 4.538
angles: 105.41 105.41 48.43
Atoms (fractional coordinates):
Li (0.000, 0.000, 0.000)
Li (0.168, 0.168, 0.661)
Li (0.336, 0.336, 0.345)
Li (0.664, 0.664, 0.655)
Li (0.832, 0.832, 0.339)
Sc (0.500, 0.500, 0.000)
Au (0.074, 0.586, 0.839)
Au (0.237, 0.763, 0.500)
Au (0.414, 0.926, 0.161)
Au (0.586, 0.074, 0.839)
Au (0.763, 0.237, 0.500)
Au (0.926, 0.414, 0.161)

Results
formation enthalpy at 0 K: -0.590 eV/atom


# 19
Li3ScAu: optimized geometry, PBE-GGA.

abc: 4.752 4.752 4.752
angles: 90.00 90.00 90.00
Atoms (fractional coordinates):
Li (0.000, 0.000, 0.500)
Li (0.000, 0.500, 0.000)
Li (0.500, 0.000, 0.000)
Sc (0.500, 0.500, 0.500)
Au (0.000, 0.000, 0.000)

Results
energy above the most stable polymorph in this dataset: 0.000 eV per atom
formation enthalpy at 0 K: 0.088 eV/atom


# 20
LiScAu6: optimized geometry, PBE-GGA.

abc: 4.194 4.194 8.102
angles: 90.00 90.00 90.00
Atoms (fractional coordinates):
Li (0.000, 0.000, 0.000)
Sc (0.000, 0.000, 0.500)
Au (0.000, 0.500, 0.246)
Au (0.000, 0.500, 0.754)
Au (0.500, 0.000, 0.246)
Au (0.500, 0.000, 0.754)
Au (0.500, 0.500, 0.000)
Au (0.500, 0.500, 0.500)

Results
formation enthalpy at 0 K: -0.430 eV/atom


# 21
LiSc2Au2: optimized geometry, PBE-GGA.

abc: 7.707 7.707 3.448
angles: 90.00 90.00 90.00
Atoms (fractional coordinates):
Li (0.000, 0.000, 0.000)
Li (0.500, 0.500, 0.000)
Sc (0.158, 0.342, 0.500)
Sc (0.342, 0.842, 0.500)
Sc (0.658, 0.158, 0.500)
Sc (0.842, 0.658, 0.500)
Au (0.140, 0.640, 0.000)
Au (0.360, 0.140, 0.000)
Au (0.640, 0.860, 0.000)
Au (0.860, 0.360, 0.000)

Results
energy above the most stable polymorph in this dataset: 0.000 eV per atom
formation enthalpy at 0 K: -0.632 eV/atom


# 22
Li2Sc2Au: optimized geometry, PBE-GGA.

abc: 6.420 6.420 4.586
angles: 90.00 90.00 90.00
Atoms (fractional coordinates):
Li (0.130, 0.370, 0.000)
Li (0.370, 0.870, 0.000)
Li (0.630, 0.130, 0.000)
Li (0.870, 0.630, 0.000)
Sc (0.185, 0.685, 0.500)
Sc (0.315, 0.185, 0.500)
Sc (0.685, 0.815, 0.500)
Sc (0.815, 0.315, 0.500)
Au (0.000, 0.000, 0.000)
Au (0.500, 0.500, 0.000)

Results
energy above the most stable polymorph in this dataset: 0.000 eV per atom
formation enthalpy at 0 K: -0.123 eV/atom


# 23
LiSc5Au6: optimized geometry, PBE-GGA.

abc: 8.289 8.289 8.289
angles: 146.67 131.80 59.87
Atoms (fractional coordinates):
Li (0.000, 0.000, 0.000)
Sc (0.161, 0.661, 0.500)
Sc (0.333, 0.333, 0.000)
Sc (0.500, 0.000, 0.500)
Sc (0.667, 0.667, 0.000)
Sc (0.839, 0.339, 0.500)
Au (0.085, 0.829, 0.256)
Au (0.255, 0.500, 0.755)
Au (0.427, 0.171, 0.256)
Au (0.573, 0.829, 0.744)
Au (0.745, 0.500, 0.245)
Au (0.915, 0.171, 0.744)

Results
formation enthalpy at 0 K: -0.760 eV/atom


# 24
LiSc2Au: optimized geometry, PBE-GGA.

abc: 4.786 4.786 4.786
angles: 60.00 60.00 60.00
Atoms (fractional coordinates):
Li (0.000, 0.000, 0.000)
Sc (0.250, 0.250, 0.250)
Sc (0.750, 0.750, 0.750)
Au (0.500, 0.500, 0.500)

Results
energy above the most stable polymorph in this dataset: 0.000 eV per atom
formation enthalpy at 0 K: -0.428 eV/atom


# 25
Li2Sc2Au: optimized geometry, PBE-GGA.

abc: 9.178 9.178 9.178
angles: 158.57 158.57 30.49
Atoms (fractional coordinates):
Li (0.250, 0.750, 0.500)
Li (0.750, 0.250, 0.500)
Sc (0.094, 0.094, 0.000)
Sc (0.906, 0.906, 0.000)
Au (0.500, 0.500, 0.000)

Results
energy above the most stable polymorph in this dataset: 0.041 eV per atom
formation enthalpy at 0 K: -0.083 eV/atom


# 26
Li3ScAu4: optimized geometry, PBE-GGA.

abc: 5.616 5.616 5.616
angles: 109.47 109.47 109.47
Atoms (fractional coordinates):
Li (0.000, 0.500, 0.500)
Li (0.500, 0.000, 0.500)
Li (0.500, 0.500, 0.000)
Sc (0.000, 0.000, 0.000)
Au (0.000, 0.000, 0.500)
Au (0.000, 0.500, 0.000)
Au (0.500, 0.000, 0.000)
Au (0.500, 0.500, 0.500)

Results
formation enthalpy at 0 K: -0.579 eV/atom


Number 1: E_tot -3.69 eV per atom. Number 2: E_tot -3.59 eV per atom. Number 3: E_tot -2.99 eV per atom. Number 4: E_tot -4.79 eV per atom. Number 5: E_tot -4.68 eV per atom. Number 6: E_tot -3.42 eV per atom. Number 7: E_tot -3.26 eV per atom. Number 8: E_tot -3.08 eV per atom. Number 9: E_tot -5.45 eV per atom. Number 10: E_tot -4.81 eV per atom. Number 11: E_tot -2.94 eV per atom. Number 12: E_tot -4.92 eV per atom. Number 13: E_tot -4.59 eV per atom. Number 14: E_tot -4.78 eV per atom. Number 15: E_tot -4.79 eV per atom. Number 16: E_tot -4.39 eV per atom. Number 17: E_tot -4.63 eV per atom. Number 18: E_tot -3.55 eV per atom. Number 19: E_tot -2.98 eV per atom. Number 20: E_tot -3.92 eV per atom. Number 21: E_tot -4.86 eV per atom. Number 22: E_tot -4.08 eV per atom. Number 23: E_tot -5.20 eV per atom. Number 24: E_tot -4.89 eV per atom. Number 25: E_tot -4.04 eV per atom. Number 26: E_tot -3.73 eV per atom.